The following is a PBE calculation of MgCdAu2 after structural relaxation, from OQMD via LeMat-Bulk.

Cell: 5.8508 5.8508 4.8402 Å, 90.00 90.00 115.93°
Fractional coordinates of all 8 atoms:
Mg  0.1439  0.8561  0.7500
Mg  0.8561  0.1439  0.2500
Cd  0.3543  0.6457  0.2500
Cd  0.6457  0.3543  0.7500
Au  0.1408  0.3457  0.7500
Au  0.3457  0.1408  0.2500
Au  0.6543  0.8592  0.7500
Au  0.8592  0.6543  0.2500

- Calculated total energy: -2.6492 eV/atom
- Symmetry: Cmcm (63)

=====

The following is a PBE calculation of NbAg after structural relaxation, from OQMD via LeMat-Bulk.

Cell: 4.2148 4.2148 4.2148 Å, 60.00 60.00 60.00°
Fractional coordinates of all 2 atoms:
Nb  0.0000  0.0000  0.0000
Ag  0.2500  0.2500  0.2500

- Symmetry: F-43m (216)
- Formation energy from the elements: 1.980 eV/atom

=====

The following is a PBE calculation of Pr2TmCd3Ir2Pt after structural relaxation, from OQMD via LeMat-Bulk.

Cell: 4.0458 7.5491 7.5491 Å, 119.68 90.00 90.00°
Fractional coordinates of all 9 atoms:
Pr  0.0000  0.2055  0.7945
Pr  0.0000  0.7945  0.2055
Tm  0.0000  0.6111  0.6111
Cd  0.5000  0.2052  0.4601
Cd  0.5000  0.4601  0.2052
Cd  0.5000  0.9521  0.9521
Ir  0.5000  0.5427  0.8614
Ir  0.5000  0.8614  0.5427
Pt  0.0000  0.2145  0.2145

- Symmetry: Amm2 (38)
- Formation energy from the elements: -0.622 eV/atom

=====

The following is a PBE calculation of RbSmNO after structural relaxation, from OQMD via LeMat-Bulk.

Cell: 4.0846 4.0846 9.0234 Å, 90.00 90.00 90.00°
Fractional coordinates of all 8 atoms:
Rb  0.2500  0.7500  0.0000
Rb  0.7500  0.2500  0.0000
Sm  0.2500  0.2500  0.3797
Sm  0.7500  0.7500  0.6203
N  0.2500  0.2500  0.7850
N  0.7500  0.7500  0.2150
O  0.2500  0.7500  0.5000
O  0.7500  0.2500  0.5000

- E above lowest polymorph: 448 meV per atom
- Symmetry: P4/nmm (129)

=====

The following is a PBE calculation of CuTe2Pt2F2 after structural relaxation, from OQMD via LeMat-Bulk.

Cell: 3.6122 3.6122 9.2405 Å, 90.00 90.00 90.00°
Fractional coordinates of all 7 atoms:
Cu  0.0000  0.0000  0.0000
Te  0.0000  0.5000  0.7888
Te  0.5000  0.0000  0.2112
Pt  0.0000  0.5000  0.3211
Pt  0.5000  0.0000  0.6789
F  0.0000  0.0000  0.5000
F  0.5000  0.5000  0.5000

- Calculated total energy: -3.9567 eV/atom
- Symmetry: P-4m2 (115)

=====

The following is a PBE calculation of PrGdMg6 after structural relaxation, from OQMD via LeMat-Bulk.

Cell: 5.2211 5.2211 7.3997 Å, 90.00 90.00 90.00°
Fractional coordinates of all 8 atoms:
Pr  0.0000  0.0000  0.0000
Gd  0.5000  0.5000  0.5000
Mg  0.0000  0.0000  0.5000
Mg  0.0000  0.5000  0.2541
Mg  0.0000  0.5000  0.7459
Mg  0.5000  0.0000  0.2541
Mg  0.5000  0.0000  0.7459
Mg  0.5000  0.5000  0.0000

- Calculated total energy: -2.4458 eV/atom
- Symmetry: P4/mmm (123)

=====

The following is a PBE calculation of SrLi2Fe after structural relaxation, from OQMD via LeMat-Bulk.

Cell: 5.0121 5.0121 5.0121 Å, 60.00 60.00 60.00°
Fractional coordinates of all 4 atoms:
Sr  0.0000  0.0000  0.0000
Li  0.5000  0.5000  0.5000
Li  0.7500  0.7500  0.7500
Fe  0.2500  0.2500  0.2500

- Calculated total energy: -2.9240 eV/atom
- Symmetry: F-43m (216)

=====

The following is a PBE calculation of Ta2GaAg after structural relaxation, from OQMD via LeMat-Bulk.

Cell: 4.6484 4.6484 4.6484 Å, 60.00 60.00 60.00°
Fractional coordinates of all 4 atoms:
Ta  0.0000  0.0000  0.0000
Ta  0.2500  0.2500  0.2500
Ga  0.5000  0.5000  0.5000
Ag  0.7500  0.7500  0.7500

- Calculated total energy: -6.9482 eV/atom
- Symmetry: F-43m (216)

=====

The following is a PBE calculation of KMo3Pb5 after structural relaxation, from OQMD via LeMat-Bulk.

Cell: 5.6532 5.6532 9.3459 Å, 90.00 90.00 120.00°
Fractional coordinates of all 9 atoms:
K  0.0000  0.0000  0.0000
Mo  0.0000  0.5000  0.5000
Mo  0.5000  0.0000  0.5000
Mo  0.5000  0.5000  0.5000
Pb  0.0000  0.0000  0.5000
Pb  0.3333  0.6667  0.2287
Pb  0.3333  0.6667  0.7713
Pb  0.6667  0.3333  0.2287
Pb  0.6667  0.3333  0.7713

- Calculated total energy: -5.5718 eV/atom
- Symmetry: P6/mmm (191)

=====

The following is a PBE calculation of ZrCoSiPt after structural relaxation, from OQMD via LeMat-Bulk.

Cell: 4.4495 4.4495 4.4495 Å, 60.00 60.00 60.00°
Fractional coordinates of all 4 atoms:
Zr  0.0000  0.0000  0.0000
Co  0.5000  0.5000  0.5000
Si  0.2500  0.2500  0.2500
Pt  0.7500  0.7500  0.7500

- E above lowest polymorph: 136 meV per atom
- Symmetry: F-43m (216)

=====

The following is a PBE calculation of AcBi2Au2 after structural relaxation, from OQMD via LeMat-Bulk.

Cell: 7.1180 7.1180 7.1180 Å, 140.76 140.76 56.70°
Fractional coordinates of all 5 atoms:
Ac  0.0000  0.0000  0.0000
Bi  0.2500  0.7500  0.5000
Bi  0.7500  0.2500  0.5000
Au  0.3944  0.3944  0.0000
Au  0.6056  0.6056  0.0000

- Calculated total energy: -4.2314 eV/atom
- Symmetry: I4/mmm (139)

=====

The following is a PBE calculation of Tm2AlOs3 after structural relaxation, from OQMD via LeMat-Bulk.

Cell: 5.3761 5.3761 8.5087 Å, 90.00 90.00 120.00°
Fractional coordinates of all 12 atoms:
Tm  0.3333  0.6667  0.0672
Tm  0.3333  0.6667  0.4328
Tm  0.6667  0.3333  0.5672
Tm  0.6667  0.3333  0.9328
Al  0.0000  0.0000  0.0000
Al  0.0000  0.0000  0.5000
Os  0.1714  0.3427  0.7500
Os  0.1714  0.8286  0.7500
Os  0.3427  0.1714  0.2500
Os  0.6573  0.8286  0.7500
Os  0.8286  0.1714  0.2500
Os  0.8286  0.6573  0.2500

- Calculated total energy: -8.1697 eV/atom
- Symmetry: P6_3/mmc (194)

=====

The following is a PBE calculation of LiCuTePdS2 after structural relaxation, from OQMD via LeMat-Bulk.

Cell: 6.7335 6.7335 9.7014 Å, 90.00 90.00 149.74°
Fractional coordinates of all 12 atoms:
Li  0.1981  0.8019  0.7500
Li  0.8019  0.1981  0.2500
Cu  0.4620  0.5380  0.2500
Cu  0.5380  0.4620  0.7500
Te  0.1105  0.8895  0.2500
Te  0.8895  0.1105  0.7500
Pd  0.0000  0.0000  0.0000
Pd  0.0000  0.0000  0.5000
S  0.3702  0.6298  0.0516
S  0.3702  0.6298  0.4484
S  0.6298  0.3702  0.5516
S  0.6298  0.3702  0.9484

- Calculated total energy: -4.0248 eV/atom
- Symmetry: Cmcm (63)

=====

The following is a PBE calculation of SmYCo2Si4 after structural relaxation, from OQMD via LeMat-Bulk.

Cell: 3.9989 8.3875 8.3875 Å, 28.11 90.00 90.00°
Fractional coordinates of all 8 atoms:
Sm  0.0000  0.0000  0.0000
Y  0.5000  0.7851  0.7851
Co  0.0000  0.2134  0.2134
Co  0.5000  0.5738  0.5738
Si  0.0000  0.3489  0.3489
Si  0.0000  0.6449  0.6449
Si  0.5000  0.1444  0.1444
Si  0.5000  0.4352  0.4352

- Calculated total energy: -6.6652 eV/atom
- Symmetry: Amm2 (38)

=====

The following is a PBE calculation of ZnPdSeO after structural relaxation, from OQMD via LeMat-Bulk.

Cell: 6.5051 6.5051 5.9400 Å, 90.00 90.00 150.55°
Fractional coordinates of all 8 atoms:
Zn  0.2000  0.8000  0.5000
Zn  0.8000  0.2000  0.0000
Pd  0.4991  0.5009  0.6938
Pd  0.5009  0.4991  0.1938
Se  0.1370  0.8630  0.9333
Se  0.8630  0.1370  0.4333
O  0.3864  0.6136  0.9449
O  0.6136  0.3864  0.4449

- E above lowest polymorph: 199 meV per atom
- Symmetry: Cmc2_1 (36)

=====

The following is a PBE calculation of Tb3PS2 after structural relaxation, from OQMD via LeMat-Bulk.

Cell: 6.8746 6.8746 6.8746 Å, 146.57 132.02 59.74°
Fractional coordinates of all 6 atoms:
Tb  0.0000  0.0000  0.0000
Tb  0.3384  0.3384  0.0000
Tb  0.6616  0.6616  0.0000
P  0.5000  0.0000  0.5000
S  0.1675  0.6675  0.5000
S  0.8325  0.3325  0.5000

- E above lowest polymorph: 0 meV per atom
- Symmetry: Immm (71)

=====

The following is a PBE calculation of Tb2NdSn3Pd3 after structural relaxation, from OQMD via LeMat-Bulk.

Cell: 4.0698 7.5868 7.5868 Å, 120.19 90.00 90.00°
Fractional coordinates of all 9 atoms:
Tb  0.0000  0.2046  0.7954
Tb  0.0000  0.7954  0.2046
Nd  0.0000  0.6150  0.6150
Sn  0.5000  0.2023  0.4586
Sn  0.5000  0.4586  0.2023
Sn  0.5000  0.9496  0.9496
Pd  0.0000  0.2003  0.2003
Pd  0.5000  0.5355  0.8751
Pd  0.5000  0.8751  0.5355

- Calculated total energy: -5.5494 eV/atom
- Symmetry: Amm2 (38)

=====

The following is a PBE calculation of MgZrTcAs after structural relaxation, from OQMD via LeMat-Bulk.

Cell: 4.5557 4.5557 4.5557 Å, 60.00 60.00 60.00°
Fractional coordinates of all 4 atoms:
Mg  0.0000  0.0000  0.0000
Zr  0.7500  0.7500  0.7500
Tc  0.5000  0.5000  0.5000
As  0.2500  0.2500  0.2500

- E above lowest polymorph: 0 meV per atom
- Symmetry: F-43m (216)

=====

The following is a PBE calculation of LuPuPd after structural relaxation, from OQMD via LeMat-Bulk.

Cell: 4.8234 4.8234 4.8234 Å, 60.00 60.00 60.00°
Fractional coordinates of all 3 atoms:
Lu  0.0000  0.0000  0.0000
Pu  0.5000  0.5000  0.5000
Pd  0.2500  0.2500  0.2500

- E above lowest polymorph: 0 meV per atom
- Symmetry: F-43m (216)
- Formation energy from the elements: -0.313 eV/atom

=====

The following is a PBE calculation of SiTcNiMo after structural relaxation, from OQMD via LeMat-Bulk.

Cell: 4.2342 4.2342 4.2342 Å, 60.00 60.00 60.00°
Fractional coordinates of all 4 atoms:
Si  0.0000  0.0000  0.0000
Tc  0.7500  0.7500  0.7500
Ni  0.2500  0.2500  0.2500
Mo  0.5000  0.5000  0.5000

- E above lowest polymorph: 0 meV per atom
- Symmetry: F-43m (216)

=====

The following is a PBE calculation of LaGdGa4Pt2 after structural relaxation, from OQMD via LeMat-Bulk.

Cell: 6.7740 5.6619 5.6619 Å, 46.53 90.00 90.00°
Fractional coordinates of all 8 atoms:
La  0.0000  0.0000  0.0000
Gd  0.5000  0.8299  0.8299
Ga  0.1991  0.2845  0.2845
Ga  0.3089  0.5503  0.5503
Ga  0.6911  0.5503  0.5503
Ga  0.8009  0.2845  0.2845
Pt  0.0000  0.7131  0.7131
Pt  0.5000  0.1195  0.1195

- Calculated total energy: -5.1231 eV/atom
- Symmetry: Amm2 (38)

=====

The following is a PBE calculation of PaAlAs after structural relaxation, from OQMD via LeMat-Bulk.

Cell: 4.6517 4.6517 4.6517 Å, 60.00 60.00 60.00°
Fractional coordinates of all 3 atoms:
Pa  0.0000  0.0000  0.0000
Al  0.5000  0.5000  0.5000
As  0.7500  0.7500  0.7500

- E above lowest polymorph: 3 meV per atom
- Symmetry: F-43m (216)

=====

The following is a PBE calculation of Lu2GaOs after structural relaxation, from OQMD via LeMat-Bulk.

Cell: 4.7303 4.7303 4.7303 Å, 60.00 60.00 60.00°
Fractional coordinates of all 4 atoms:
Lu  0.0000  0.0000  0.0000
Lu  0.2500  0.2500  0.2500
Ga  0.5000  0.5000  0.5000
Os  0.7500  0.7500  0.7500

- Calculated total energy: -6.0055 eV/atom
- Symmetry: F-43m (216)

=====

The following is a PBE calculation of NaDyHf after structural relaxation, from OQMD via LeMat-Bulk.

Cell: 5.1933 5.1933 5.1933 Å, 60.00 60.00 60.00°
Fractional coordinates of all 3 atoms:
Na  0.0000  0.0000  0.0000
Dy  0.5000  0.5000  0.5000
Hf  0.7500  0.7500  0.7500

- Calculated total energy: -3.9439 eV/atom
- Symmetry: F-43m (216)

=====

The following is a PBE calculation of BaAg2Sb2 after structural relaxation, from OQMD via LeMat-Bulk.

Cell: 6.9446 6.9446 6.9446 Å, 139.44 139.44 58.71°
Fractional coordinates of all 5 atoms:
Ba  0.0000  0.0000  0.0000
Ag  0.2500  0.7500  0.5000
Ag  0.7500  0.2500  0.5000
Sb  0.3771  0.3771  0.0000
Sb  0.6229  0.6229  0.0000

- Calculated total energy: -3.6411 eV/atom
- Symmetry: I4/mmm (139)

=====

The following is a PBE calculation of Rb3InAu5 after structural relaxation, from OQMD via LeMat-Bulk.

Cell: 11.3655 11.3655 11.3655 Å, 150.80 54.53 135.02°
Fractional coordinates of all 18 atoms:
Rb  0.1301  0.8801  0.2500
Rb  0.2099  0.1228  0.0871
Rb  0.4643  0.8772  0.5871
Rb  0.5357  0.1228  0.4129
Rb  0.7901  0.8772  0.9129
Rb  0.8699  0.1199  0.7500
In  0.4126  0.6626  0.7500
In  0.5874  0.3374  0.2500
Au  0.0000  0.5000  0.5000
Au  0.1085  0.4633  0.6452
Au  0.1850  0.0000  0.6850
Au  0.1850  0.5000  0.1850
Au  0.3182  0.4633  0.8548
Au  0.5000  0.5000  0.0000
Au  0.6818  0.5367  0.1452
Au  0.8150  0.0000  0.3150
Au  0.8150  0.5000  0.8150
Au  0.8915  0.5367  0.3548

- Calculated total energy: -2.7325 eV/atom
- Symmetry: Imma (74)